Computed, not measured: crystalline MgSnB2 at its relaxed geometry at the PBE level of DFT.

The total magnetization is 0.00 Bohr magnetons per cell. The value obtained for the mass density is 4.0 Mg/m³. The energy above the most stable polymorph in this dataset comes out at 0.0 meV/atom. Its formation energy is 1142.0 meV/atom.

The space group is I-42d (No. 122) and the conventional cell measures 6.233, 6.233 and 6.958 Å, with angles of 90.00, 90.00 and 90.00 degrees. The distinct sites, in fractional coordinates, are Mg at (0.000, 0.000, 0.000), Sn at (0.000, 0.000, 0.500) and B at (0.236, 0.250, 0.625).